(1)
Entry from Alexandria via LeMat-Bulk: crystalline Dy4TlAg2 at its relaxed geometry (PBE-GGA).

Properties
* E above lowest polymorph: 0.1334 eV per atom
* energy relative to the elements: -0.0373 eV/atom

abc: 4.9408 4.9408 29.0569
angles: 90.00 90.00 120.00
Closest atoms and distances in Å follow each position.
Space group R-3m (No. 166, hexagonal axes)
Asymmetric unit:
Dy 0.0000 0.0000 0.1198 x6  3 Tl 3.16, 3 Ag 3.25
Dy 0.0000 0.0000 0.2966 x6  4 Ag 2.98
Tl 0.0000 0.0000 0.5000 x3  2 Ag 2.93, 6 Dy 3.16
Ag 0.0000 0.0000 0.3991 x6  1 Tl 2.93, 7 Dy 2.98-3.25

(2)
Entry from Alexandria via LeMat-Bulk: crystalline NaCd2SnIr at its relaxed geometry (PBE-GGA).

Properties
* energy relative to the elements: -0.0537 eV/atom

abc: 5.3000 5.3000 5.0330
angles: 90.00 90.00 90.00
Closest atoms and distances in Å follow each position.
Space group P4/mmm (No. 123)
Asymmetric unit:
Na 0.0000 0.0000 0.0000 x1  8 Cd 3.65, 4 Sn 3.75
Cd 0.0000 0.5000 0.5000 x2  2 Ir 2.65
Sn 0.5000 0.5000 0.0000 x1  2 Ir 2.52
Ir 0.5000 0.5000 0.5000 x1  2 Sn 2.52, 4 Cd 2.65

(3)
Entry from Alexandria via LeMat-Bulk: crystalline NpSi2Rh4 at its relaxed geometry (PBE-GGA).

Properties
* energy relative to the elements, uncorrected: -2.11 eV/f.u.

abc: 3.8768 3.8768 17.1451
angles: 90.00 90.00 90.00
Closest atoms and distances in Å follow each position.
Space group I4/mmm (No. 139)
Asymmetric unit:
Np 0.0000 0.0000 0.0000 x2  2 Rh 2.25
Si 0.0000 0.0000 0.3368 x4  4 Rh 2.44
Rh 0.0000 0.0000 0.1314 x4  1 Np 2.25
Rh 0.0000 0.5000 0.2500 x4  4 Si 2.44

Number 1: Fermi-level density of states 1.43 states/eV per atom. Number 2: Fermi-level density of states 0.36 states/eV per atom. Number 3: Fermi-level density of states 1.69 states/eV per atom.